Entry 1:
The following is a PBE calculation of a geometry-optimized LiCd6Hg4 structure, from Alexandria via LeMat-Bulk.

a b c (Å): 10.093 8.367 8.367
angles (deg): 120.00 90.00 90.00
Fractional positions:
1 Cd 0.324 0.936 0.468
2 Hg 0.661 0.134 0.267
3 Li 0.083 0.667 0.333
4 Hg 0.816 0.667 0.333
5 Li 0.583 0.333 0.667
6 Cd 0.324 0.532 0.468
7 Hg 0.661 0.733 0.866
8 Cd 0.057 0.578 0.789
9 Hg 0.161 0.866 0.733
10 Cd 0.057 0.211 0.789
11 Hg 0.316 0.333 0.667
12 Cd 0.824 0.468 0.532
13 Cd 0.557 0.422 0.211
14 Cd 0.324 0.532 0.064
15 Hg 0.161 0.866 0.134
16 Hg 0.661 0.134 0.866
17 Cd 0.557 0.789 0.578
18 Cd 0.057 0.211 0.422
19 Hg 0.161 0.267 0.134
20 Cd 0.824 0.468 0.936
21 Cd 0.824 0.064 0.532
22 Cd 0.557 0.789 0.211

## Properties
- total magnetic moment (μB/atom) = 0.00
- energy relative to the elements (eV per atom) = 0.0337
- V (Å³/atom) = 27.81
- total DFT energy (no corrections) (Ry per atom) = -0.0551

Entry 2:
The following is a PBE calculation of a geometry-optimized Sr3SiW structure, from Alexandria via LeMat-Bulk.

a b c (Å): 5.718 5.718 5.718
angles (deg): 90.00 90.00 90.00
Fractional positions:
1 W 0.000 0.000 0.000
2 Sr 0.500 0.000 0.000
3 Sr 0.000 0.500 0.000
4 Si 0.500 0.500 0.500
5 Sr 0.000 0.000 0.500

## Properties
- ΔE_f (raw) (eV per formula unit) = 6.3
- total magnetic moment (μB/atom) = 0.00
- V (Å³/atom) = 37.40
- total DFT energy (no corrections) (Ry per atom) = -0.2520

Entry 3:
The following is a PBE calculation of a geometry-optimized Fe2PRu structure, from Alexandria via LeMat-Bulk.

a b c (Å): 4.815 4.815 4.815
angles (deg): 146.43 129.62 61.90
Fractional positions:
1 P 0.750 0.250 0.500
2 Ru 0.250 0.750 0.500
3 Fe 0.974 0.974 0.000
4 Fe 0.526 0.526 0.000

## Properties
- total magnetic moment (μB/atom) = 0.94
- energy relative to the elements (eV per atom) = -0.1689
- V (Å³/atom) = 11.77
- total DFT energy (no corrections) (Ry per atom) = -0.5933

Entry 4:
The following is a PBE calculation of a geometry-optimized RbNa2Co structure, from Alexandria via LeMat-Bulk.

a b c (Å): 5.707 5.707 5.707
angles (deg): 60.00 60.00 60.00
Fractional positions:
1 Na 0.250 0.250 0.250
2 Na 0.750 0.750 0.750
3 Rb 0.500 0.500 0.500
4 Co 0.000 0.000 0.000

## Properties
- total magnetic moment (μB/atom) = 0.40
- energy relative to the elements (eV per atom) = 0.7860
- V (Å³/atom) = 32.86
- total DFT energy (no corrections) (Ry per atom) = -0.1390

Entry 5:
The following is a PBE calculation of a geometry-optimized CePm2Gd structure, from Alexandria via LeMat-Bulk.

a b c (Å): 3.572 3.572 10.223
angles (deg): 90.00 90.00 90.00
Fractional positions:
1 Ce 0.500 0.500 0.000
2 Pm 0.000 0.000 0.242
3 Gd 0.500 0.500 0.500
4 Pm 0.000 0.000 0.758

## Properties
- total magnetic moment (μB/atom) = 1.74
- energy relative to the elements (eV per atom) = 0.0619
- V (Å³/atom) = 32.61
- total DFT energy (no corrections) (Ry per atom) = -0.5378

Entry 6:
The following is a PBE calculation of a geometry-optimized LiNd4Y3S8 structure, from Alexandria via LeMat-Bulk.

a b c (Å): 7.933 7.996 7.933
angles (deg): 119.74 120.00 90.00
Fractional positions:
1 S 0.749 0.732 0.991
2 S 0.242 0.732 0.483
3 S 0.745 0.736 0.491
4 S 0.242 0.732 0.991
5 Y 0.500 0.500 0.500
6 Y 0.000 0.500 0.500
7 Nd 0.000 0.000 0.000
8 Y 0.500 0.500 0.000
9 Nd 0.500 0.000 0.000
10 S 0.758 0.268 0.517
11 Li 0.000 0.500 0.000
12 S 0.758 0.268 0.009
13 Nd 0.500 0.000 0.500
14 S 0.255 0.264 0.509
15 S 0.251 0.268 0.009
16 Nd 0.000 0.000 0.500

## Properties
- ΔE_f (raw) (eV per formula unit) = -31.5
- total magnetic moment (μB/atom) = 0.00
- V (Å³/atom) = 22.32
- total DFT energy (no corrections) (Ry per atom) = -0.4819

Entry 7:
The following is a PBE calculation of a geometry-optimized Mg8ZnN6 structure, from Alexandria via LeMat-Bulk.

a b c (Å): 5.996 5.996 12.307
angles (deg): 90.00 90.00 120.00
Fractional positions:
1 N 0.669 0.669 0.446
2 N 0.000 0.000 0.196
3 N 0.667 0.333 0.196
4 N 0.669 0.000 0.946
5 N 0.333 0.667 0.696
6 Mg 0.667 0.333 0.946
7 N 0.000 0.331 0.446
8 N 0.000 0.000 0.696
9 Mg 0.671 0.000 0.117
10 Mg 0.329 0.329 0.117
11 N 0.333 0.667 0.196
12 N 0.331 0.331 0.946
13 Mg 0.329 0.329 0.776
14 Mg 0.671 0.671 0.276
15 Mg 0.000 0.671 0.117
16 Mg 0.671 0.671 0.617
17 Mg 0.329 0.000 0.276
18 Mg 0.671 0.000 0.776
19 Zn 0.000 0.000 0.946
20 Mg 0.333 0.667 0.446
21 Zn 0.000 0.000 0.446
22 N 0.000 0.669 0.946
23 Mg 0.333 0.667 0.946
24 Mg 0.000 0.671 0.776
25 Mg 0.667 0.333 0.446
26 Mg 0.329 0.000 0.617
27 Mg 0.000 0.329 0.617
28 N 0.331 0.000 0.446
29 Mg 0.000 0.329 0.276
30 N 0.667 0.333 0.696

## Properties
- ΔE_f (raw) (eV per formula unit) = -9.5
- total magnetic moment (μB/atom) = 0.00
- V (Å³/atom) = 12.77
- total DFT energy (no corrections) (Ry per atom) = -0.3601

Entry 8:
The following is a PBE calculation of a geometry-optimized LaCuAu structure, from Alexandria via LeMat-Bulk.

a b c (Å): 4.936 4.936 4.936
angles (deg): 60.00 60.00 60.00
Fractional positions:
1 Au 0.000 0.000 0.000
2 La 0.750 0.750 0.750
3 Cu 0.500 0.500 0.500

## Properties
- total magnetic moment (μB/atom) = 0.00
- energy relative to the elements (eV per atom) = -0.0724
- V (Å³/atom) = 28.34
- total DFT energy (no corrections) (Ry per atom) = -0.3067

Entry 9:
The following is a PBE calculation of a geometry-optimized TaCoNi2 structure, from Alexandria via LeMat-Bulk.

a b c (Å): 3.597 3.595 3.788
angles (deg): 90.00 90.00 90.00
Fractional positions:
1 Ni 0.000 0.000 0.000
2 Ni 0.500 0.500 0.000
3 Ta 0.500 0.000 0.500
4 Co 0.000 0.500 0.500

## Properties
- total magnetic moment (μB/atom) = 0.00
- energy relative to the elements (eV per atom) = -0.3167
- V (Å³/atom) = 12.25
- total DFT energy (no corrections) (Ry per atom) = -0.5841

Entry 10:
The following is a PBE calculation of a geometry-optimized Tm4ScAu5 structure, from Alexandria via LeMat-Bulk.

a b c (Å): 3.500 3.500 17.846
angles (deg): 90.00 90.00 90.00
Fractional positions:
1 Au 0.500 0.500 0.091
2 Tm 0.000 0.000 0.195
3 Tm 0.000 0.000 0.398
4 Au 0.500 0.500 0.909
5 Tm 0.000 0.000 0.805
6 Au 0.500 0.500 0.703
7 Tm 0.000 0.000 0.602
8 Sc 0.000 0.000 0.000
9 Au 0.500 0.500 0.500
10 Au 0.500 0.500 0.297

## Properties
- total magnetic moment (μB/atom) = 0.00
- energy relative to the elements (eV per atom) = -0.8722
- V (Å³/atom) = 21.86
- total DFT energy (no corrections) (Ry per atom) = -0.3625

Entry 11:
The following is a PBE calculation of a geometry-optimized InBr4N2 structure, from Alexandria via LeMat-Bulk.

a b c (Å): 3.751 7.466 7.180
angles (deg): 84.18 105.14 90.00
Fractional positions:
1 N 0.688 0.694 0.377
2 Br 0.868 0.323 0.737
3 Br 0.605 0.151 0.210
4 Br 0.132 0.677 0.263
5 N 0.312 0.306 0.623
6 In 0.000 0.000 0.000
7 Br 0.395 0.849 0.790

## Properties
- ΔE_f (raw) (eV per formula unit) = 6.0
- total magnetic moment (μB/atom) = 0.21
- V (Å³/atom) = 27.58
- total DFT energy (no corrections) (Ry per atom) = -0.2107

Entry 12:
The following is a PBE calculation of a geometry-optimized AgRuS2Cl structure, from Alexandria via LeMat-Bulk.

a b c (Å): 4.846 4.846 4.852
angles (deg): 90.00 90.00 90.00
Fractional positions:
1 S 0.000 0.500 0.000
2 S 0.500 0.000 0.000
3 Ru 0.500 0.500 0.500
4 Ag 0.000 0.000 0.000
5 Cl 0.000 0.000 0.500

## Properties
- ΔE_f (raw) (eV per formula unit) = 5.7
- total magnetic moment (μB/atom) = 0.84
- V (Å³/atom) = 22.79
- total DFT energy (no corrections) (Ry per atom) = -0.2437